Record 1
Compound: GdGeHO4
Source: the Open Quantum Materials Database
Functional: PBE
Structure: relaxed

a = 4.867 Å, b = 10.999 Å, c = 6.216 Å
α = 90.00°, β = 90.00°, γ = 90.00°
Positions (direct):
O 0.216 0.932 0.750
O 0.784 0.068 0.250
O 0.265 0.429 0.250
O 0.215 0.655 0.463
O 0.735 0.571 0.750
O 0.284 0.432 0.750
O 0.235 0.929 0.250
O 0.715 0.845 0.537
O 0.785 0.345 0.537
O 0.285 0.155 0.463
O 0.285 0.155 0.037
O 0.715 0.845 0.963
O 0.765 0.071 0.750
O 0.716 0.568 0.250
O 0.215 0.655 0.037
O 0.785 0.345 0.963
Gd 0.473 0.237 0.750
Gd 0.527 0.763 0.250
Gd 0.027 0.737 0.750
Gd 0.973 0.263 0.250
Ge 0.421 0.066 0.250
Ge 0.921 0.434 0.750
Ge 0.579 0.934 0.750
Ge 0.079 0.566 0.250
H 0.000 0.000 0.000
H 0.500 0.500 0.500
H 0.000 0.000 0.500
H 0.500 0.500 0.000

Properties
Polymorph energy (0 for the lowest one) (meV per atom): 546

***

Record 2
Compound: LiPuZn
Source: the Open Quantum Materials Database
Functional: PBE
Structure: relaxed

a = 4.734 Å, b = 4.734 Å, c = 4.734 Å
α = 60.00°, β = 60.00°, γ = 60.00°
Positions (direct):
Zn 0.250 0.250 0.250
Li 0.500 0.500 0.500
Pu 0.000 0.000 0.000

Properties
Polymorph energy (0 for the lowest one) (meV per atom): 0

***

Record 3
Compound: GdCo2SiP
Source: the Open Quantum Materials Database
Functional: PBE
Structure: relaxed

a = 5.535 Å, b = 5.535 Å, c = 5.535 Å
α = 139.47°, β = 139.47°, γ = 58.65°
Positions (direct):
Si 0.375 0.375 0.000
P 0.626 0.626 0.000
Co 0.748 0.248 0.500
Co 0.248 0.748 0.500
Gd 0.003 0.003 0.000

***

Record 4
Compound: LuNpTc
Source: the Open Quantum Materials Database
Functional: PBE
Structure: relaxed

a = 4.520 Å, b = 4.520 Å, c = 4.520 Å
α = 60.00°, β = 60.00°, γ = 60.00°
Positions (direct):
Tc 0.750 0.750 0.750
Np 0.250 0.250 0.250
Lu 0.000 0.000 0.000

Properties
Calculated formation energy (eV/atom): 1.091

***

Record 5
Compound: TmAuSO
Source: the Open Quantum Materials Database
Functional: PBE
Structure: relaxed

a = 4.056 Å, b = 6.340 Å, c = 6.307 Å
α = 90.00°, β = 90.00°, γ = 90.00°
Positions (direct):
Au 0.000 0.292 0.113
Au 0.000 0.708 0.613
O 0.500 0.076 0.175
O 0.500 0.924 0.675
S 0.000 0.654 0.213
S 0.000 0.346 0.713
Tm 0.500 0.191 0.489
Tm 0.500 0.809 0.989

Properties
Polymorph energy (0 for the lowest one) (meV per atom): 502

***

Record 6
Compound: RbSiAuSe2S
Source: the Open Quantum Materials Database
Functional: PBE
Structure: relaxed

a = 8.829 Å, b = 8.829 Å, c = 9.864 Å
α = 90.00°, β = 90.00°, γ = 156.00°
Positions (direct):
Rb 0.221 0.779 0.250
Rb 0.779 0.221 0.750
Au 0.112 0.888 0.750
Au 0.888 0.112 0.250
Se 0.899 0.101 0.494
Se 0.101 0.899 0.994
Se 0.101 0.899 0.506
Se 0.899 0.101 0.006
Si 0.500 0.500 0.500
Si 0.500 0.500 0.000
S 0.466 0.534 0.750
S 0.534 0.466 0.250

***

Record 7
Compound: Pr2NdMg3Al2In
Source: the Open Quantum Materials Database
Functional: PBE
Structure: relaxed

a = 4.703 Å, b = 7.617 Å, c = 7.617 Å
α = 119.93°, β = 90.00°, γ = 90.00°
Positions (direct):
Nd 0.000 0.566 0.566
Mg 0.500 0.248 0.248
Mg 0.500 0.000 0.753
Mg 0.500 0.753 0.000
Pr 0.000 0.000 0.434
Pr 0.000 0.434 0.000
In 0.000 0.999 0.999
Al 0.500 0.666 0.334
Al 0.500 0.334 0.666

***

Record 8
Compound: CsTmLu
Source: the Open Quantum Materials Database
Functional: PBE
Structure: relaxed

a = 5.517 Å, b = 5.517 Å, c = 5.517 Å
α = 60.00°, β = 60.00°, γ = 60.00°
Positions (direct):
Tm 0.250 0.250 0.250
Lu 0.750 0.750 0.750
Cs 0.000 0.000 0.000

Properties
Polymorph energy (0 for the lowest one) (meV per atom): 25

***

Record 9
Compound: SmCu2Te4
Source: the Open Quantum Materials Database
Functional: PBE
Structure: relaxed

a = 8.428 Å, b = 8.428 Å, c = 7.832 Å
α = 117.10°, β = 117.10°, γ = 98.36°
Positions (direct):
Te 0.279 0.140 0.299
Te 0.140 0.279 0.799
Te 0.860 0.721 0.201
Te 0.721 0.860 0.701
Te 0.836 0.475 0.618
Te 0.164 0.525 0.382
Te 0.475 0.836 0.118
Te 0.525 0.164 0.882
Sm 0.125 0.875 0.750
Sm 0.875 0.125 0.250
Cu 0.500 0.500 0.500
Cu 0.500 0.000 0.500
Cu 0.500 0.500 0.000
Cu 0.000 0.500 0.000

***

Record 10
Compound: YTe3PbAu
Source: the Open Quantum Materials Database
Functional: PBE
Structure: relaxed

a = 8.353 Å, b = 4.316 Å, c = 10.678 Å
α = 90.00°, β = 106.78°, γ = 90.00°
Positions (direct):
Te 0.787 0.750 0.034
Te 0.923 0.750 0.629
Te 0.544 0.250 0.342
Te 0.077 0.250 0.371
Te 0.456 0.750 0.658
Te 0.213 0.250 0.966
Y 0.203 0.250 0.677
Y 0.797 0.750 0.323
Au 0.406 0.750 0.902
Au 0.594 0.250 0.098
Pb 0.230 0.750 0.207
Pb 0.770 0.250 0.793

Properties
Polymorph energy (0 for the lowest one) (meV per atom): 5

***

Record 11
Compound: NiPIr
Source: the Open Quantum Materials Database
Functional: PBE
Structure: relaxed

a = 5.697 Å, b = 5.697 Å, c = 5.697 Å
α = 90.00°, β = 90.00°, γ = 90.00°
Positions (direct):
P 0.112 0.388 0.612
P 0.612 0.112 0.388
P 0.888 0.888 0.888
P 0.388 0.612 0.112
Ir 0.483 0.483 0.483
Ir 0.517 0.983 0.017
Ir 0.017 0.517 0.983
Ir 0.983 0.017 0.517
Ni 0.396 0.896 0.604
Ni 0.896 0.604 0.396
Ni 0.604 0.396 0.896
Ni 0.104 0.104 0.104

***

Record 12
Compound: SmYB2Ir2N2
Source: the Open Quantum Materials Database
Functional: PBE
Structure: relaxed

a = 3.760 Å, b = 3.760 Å, c = 7.515 Å
α = 90.00°, β = 90.00°, γ = 90.00°
Positions (direct):
N 0.000 0.000 0.853
N 0.500 0.500 0.144
Ir 0.500 0.000 0.501
Ir 0.000 0.500 0.501
Sm 0.000 0.000 0.165
B 0.500 0.500 0.344
B 0.000 0.000 0.654
Y 0.500 0.500 0.837

***

Record 13
Compound: GdHo2Mg3CdHg2
Source: the Open Quantum Materials Database
Functional: PBE
Structure: relaxed

a = 4.644 Å, b = 7.445 Å, c = 7.445 Å
α = 120.50°, β = 90.00°, γ = 90.00°
Positions (direct):
Gd 0.000 0.574 0.574
Mg 0.500 0.758 0.000
Mg 0.500 0.243 0.243
Mg 0.500 0.000 0.758
Ho 0.000 0.425 0.999
Ho 0.000 0.999 0.425
Hg 0.500 0.331 0.667
Hg 0.500 0.667 0.331
Cd 0.000 0.004 0.004

***

Record 14
Compound: YNbAs
Source: the Open Quantum Materials Database
Functional: PBE
Structure: relaxed

a = 4.829 Å, b = 4.829 Å, c = 4.829 Å
α = 60.00°, β = 60.00°, γ = 60.00°
Positions (direct):
Y 0.000 0.000 0.000
As 0.250 0.250 0.250
Nb 0.750 0.750 0.750

***

Record 15
Compound: ZnOs
Source: the Open Quantum Materials Database
Functional: PBE
Structure: relaxed

a = 4.690 Å, b = 10.703 Å, c = 4.468 Å
α = 90.00°, β = 90.00°, γ = 90.00°
Positions (direct):
Os 0.823 0.128 0.500
Os 0.510 0.872 0.000
Os 0.324 0.500 0.500
Os 0.510 0.628 0.000
Os 0.324 0.000 0.500
Os 0.010 0.500 0.000
Os 0.010 0.000 0.000
Os 0.823 0.372 0.500
Zn 0.827 0.624 0.500
Zn 0.506 0.376 0.000
Zn 0.005 0.750 0.000
Zn 0.506 0.124 0.000
Zn 0.333 0.750 0.500
Zn 0.328 0.250 0.500
Zn 0.001 0.250 0.000
Zn 0.827 0.876 0.500

Properties
Calculated formation energy (eV/atom): 0.202

***

Record 16
Compound: NbFePd
Source: the Open Quantum Materials Database
Functional: PBE
Structure: relaxed

a = 4.179 Å, b = 4.179 Å, c = 4.179 Å
α = 60.00°, β = 60.00°, γ = 60.00°
Positions (direct):
Fe 0.250 0.250 0.250
Nb 0.000 0.000 0.000
Pd 0.750 0.750 0.750

Properties
Polymorph energy (0 for the lowest one) (meV per atom): 198
Calculated formation energy (eV/atom): 0.540

***

Record 17
Compound: NaAg3PtSe4
Source: the Open Quantum Materials Database
Functional: PBE
Structure: relaxed

a = 6.278 Å, b = 6.278 Å, c = 6.278 Å
α = 90.00°, β = 90.00°, γ = 90.00°
Positions (direct):
Ag 0.500 0.000 0.500
Ag 0.500 0.500 0.000
Ag 0.000 0.500 0.500
Se 0.269 0.269 0.269
Se 0.731 0.269 0.731
Se 0.269 0.731 0.731
Se 0.731 0.731 0.269
Na 0.000 0.000 0.000
Pt 0.500 0.500 0.500

***

Record 18
Compound: IrCl4
Source: the Open Quantum Materials Database
Functional: PBE
Structure: relaxed

a = 6.664 Å, b = 6.469 Å, c = 7.773 Å
α = 54.88°, β = 52.56°, γ = 72.56°
Positions (direct):
Cl 0.689 0.263 0.497
Cl 0.263 0.689 0.551
Cl 0.202 0.804 0.967
Cl 0.223 0.283 0.446
Cl 0.699 0.753 0.987
Cl 0.283 0.223 0.048
Cl 0.804 0.202 0.027
Cl 0.753 0.699 0.561
Ir 0.265 0.265 0.735
Ir 0.515 0.515 0.985

***

Record 19
Compound: CdGeSO
Source: the Open Quantum Materials Database
Functional: PBE
Structure: relaxed

a = 6.950 Å, b = 10.172 Å, c = 8.538 Å
α = 90.00°, β = 90.00°, γ = 90.00°
Positions (direct):
Cd 0.074 0.702 0.498
Cd 0.574 0.798 0.502
Cd 0.426 0.202 0.498
Cd 0.074 0.798 0.998
Cd 0.926 0.202 0.002
Cd 0.426 0.298 0.998
Cd 0.574 0.702 0.002
Cd 0.926 0.298 0.502
Ge 0.756 0.436 0.274
Ge 0.256 0.436 0.226
Ge 0.244 0.564 0.726
Ge 0.256 0.064 0.726
Ge 0.744 0.936 0.274
Ge 0.744 0.564 0.774
Ge 0.244 0.936 0.226
Ge 0.756 0.064 0.774
O 0.775 0.860 0.086
O 0.775 0.640 0.586
O 0.275 0.640 0.914
O 0.725 0.360 0.086
O 0.225 0.140 0.914
O 0.225 0.360 0.414
O 0.725 0.140 0.586
O 0.275 0.860 0.414
S 0.008 0.908 0.724
S 0.508 0.592 0.276
S 0.508 0.908 0.776
S 0.992 0.408 0.776
S 0.008 0.592 0.224
S 0.992 0.092 0.276
S 0.492 0.408 0.724
S 0.492 0.092 0.224

Properties
Polymorph energy (0 for the lowest one) (meV per atom): 58

***

Record 20
Compound: KCuP2Se5
Source: the Open Quantum Materials Database
Functional: PBE
Structure: relaxed

a = 10.778 Å, b = 7.854 Å, c = 12.041 Å
α = 90.00°, β = 109.08°, γ = 90.00°
Positions (direct):
K 0.900 0.871 0.279
K 0.100 0.129 0.721
K 0.400 0.629 0.779
K 0.600 0.371 0.221
P 0.116 0.654 0.921
P 0.616 0.846 0.421
P 0.884 0.346 0.079
P 0.285 0.935 0.457
P 0.384 0.154 0.579
P 0.715 0.065 0.543
P 0.215 0.435 0.043
P 0.785 0.565 0.957
Se 0.956 0.431 0.261
Se 0.703 0.468 0.774
Se 0.844 0.189 0.464
Se 0.248 0.370 0.538
Se 0.545 0.257 0.507
Se 0.752 0.630 0.462
Se 0.156 0.811 0.536
Se 0.297 0.532 0.226
Se 0.203 0.032 0.274
Se 0.045 0.243 0.007
Se 0.455 0.743 0.493
Se 0.955 0.757 0.993
Se 0.748 0.130 0.038
Se 0.656 0.689 0.036
Se 0.344 0.311 0.964
Se 0.456 0.069 0.761
Se 0.797 0.968 0.726
Se 0.044 0.569 0.739
Se 0.252 0.870 0.962
Se 0.544 0.931 0.239
Cu 0.685 0.164 0.829
Cu 0.815 0.664 0.671
Cu 0.185 0.336 0.329
Cu 0.315 0.836 0.171

***

Record 21
Compound: BaNaErS3
Source: the Open Quantum Materials Database
Functional: PBE
Structure: relaxed

a = 8.046 Å, b = 4.203 Å, c = 9.584 Å
α = 90.00°, β = 108.56°, γ = 90.00°
Positions (direct):
S 0.728 0.250 0.452
S 0.540 0.250 0.857
S 0.091 0.250 0.860
S 0.272 0.750 0.548
S 0.460 0.750 0.143
S 0.909 0.750 0.140
Ba 0.254 0.250 0.272
Ba 0.746 0.750 0.728
Na 0.905 0.750 0.413
Na 0.095 0.250 0.587
Er 0.689 0.250 0.146
Er 0.311 0.750 0.854

***

What uncorrected energy values result from the calculations? In sequence: -6.32, -5.45, -6.88, -8.13, -5.70, -3.77, -3.59, -1.96, -4.01, -4.53, -6.53, -8.49, -2.57, -6.39, -6.04, -7.32, -3.41, -3.57, -4.37, -4.03, -5.12 eV per atom.